## BaCa3Mg (PBE)

Data for an optimized crystal structure of BaCa3Mg.

```
data_BaCa3Mg
_space_group_name_H-M_alt 'P m -3 m'
_space_group_IT_number 221
_space_group_name_Hall '-P 4 2 3'
_cell_length_a 6.2048
_cell_length_b 6.2048
_cell_length_c 6.2048
_cell_angle_alpha 90.00
_cell_angle_beta 90.00
_cell_angle_gamma 90.00
loop_
_atom_site_label
_atom_site_type_symbol
_atom_site_fract_x
_atom_site_fract_y
_atom_site_fract_z
Ba1 Ba 0.0000 0.0000 0.0000
Ca1 Ca 0.0000 0.5000 0.5000
Mg1 Mg 0.5000 0.5000 0.5000
```

Computed properties:
The distance to the lowest polymorph of the same formula comes out at 147 meV/atom.